No. 1
A relaxed BeTc2Sn crystal, computed with GGA-PBE.

a = 3.9093 Å, b = 3.9093 Å, c = 17.8217 Å
α = 90.00°, β = 90.00°, γ = 90.00°
Closest atoms and distances in Å follow each position.
Space group I-42d (No. 122)
Unique sites:
Be1 0.0000 0.0000 0.0000  4 Tc 2.52, 4 Sn 2.76
Tc1 0.1668 0.7500 0.1250  2 Tc 2.35, 2 Be 2.52
Sn1 0.0000 0.0000 0.5000  4 Tc 2.76, 4 Be 2.76

Summary:
energy relative to the lowest polymorph listed for this composition: 146 meV/atom


No. 2
A relaxed BeTcSn2 crystal, computed with GGA-PBE.

a = 7.3461 Å, b = 7.3461 Å, c = 5.6067 Å
α = 90.00°, β = 90.00°, γ = 90.00°
Closest atoms and distances in Å follow each position.
Space group I-42d (No. 122)
Unique sites:
Be1 0.0000 0.0000 0.0000  4 Sn 2.53, 2 Tc 2.80
Tc1 0.0000 0.0000 0.5000  2 Be 2.80, 4 Sn 2.86
Sn1 0.2163 0.2500 0.1250  2 Be 2.53


No. 3
A relaxed BeTc2Sn2 crystal, computed with GGA-PBE.

a = 6.3448 Å, b = 6.3448 Å, c = 4.1781 Å
α = 90.00°, β = 90.00°, γ = 90.00°
Closest atoms and distances in Å follow each position.
Space group P4/mbm (No. 127)
Unique sites:
Be1 0.0000 0.0000 0.0000  4 Tc 2.41
Tc1 0.1509 0.3491 0.0000  2 Be 2.41, 2 Sn 2.67
Sn1 0.1643 0.6643 0.5000  6 Tc 2.67-2.89, 1 Sn 2.95


No. 4
A relaxed BeTc2Sn crystal, computed with GGA-PBE.

a = 6.1795 Å, b = 6.1795 Å, c = 6.1795 Å
α = 90.00°, β = 90.00°, γ = 90.00°
Closest atoms and distances in Å follow each position.
Space group Fm-3m (No. 225)
Unique sites:
Be1 0.0000 0.0000 0.0000  8 Tc 2.68
Tc1 0.2500 0.2500 0.2500  4 Sn 2.68, 4 Be 2.68
Sn1 0.0000 0.0000 0.5000  8 Tc 2.68

Summary:
energy relative to the lowest polymorph listed for this composition: 0 meV/atom


Sequential calculated formation energy output: 0.428, 0.749, 0.113, 0.282 eV/atom